A geometry-optimized Cr2Fe2Bi structure, computed with PBE.

The calculation puts the offset from the most stable computed form at 0.000 eV per atom. Its density is 9.6 g/cm3. The magnetization is 0.00 Bohr magnetons per cell. As for the energy of formation: 0.536 eV per atom. For the electronic total energy, the calculation gives -7.474 eV per atom.

Cell: 5.7337 5.7337 5.7337 Å, 141.31 141.31 55.86°
With the nearest neighbours (Å) after each atom.
Sites, in units of the cell vectors:
Cr (0.1240, 0.1240, 0.0000)  4 Fe 2.29, 1 Cr 2.51
Cr (0.8760, 0.8760, 0.0000)  4 Fe 2.29, 1 Cr 2.51
Fe (0.2500, 0.7500, 0.5000)  4 Cr 2.29
Fe (0.7500, 0.2500, 0.5000)  4 Cr 2.29
Bi (0.5000, 0.5000, 0.0000)  8 Cr 2.96, 8 Fe 3.17